Entry 1:
Entry from Alexandria: crystalline Ba4Pt2N at its relaxed geometry (GGA-PBE).

It has space group I4/mmm (No. 139), with a = 5.3622 Å, b = 5.3622 Å, c = 16.2359 Å, α = 90.00°, β = 90.00° and γ = 90.00°. The distinct sites, in fractional coordinates, are Ba at (0.0000, 0.0000, 0.1736), Ba at (0.0000, 0.5000, 0.0000), Pt at (0.0000, 0.0000, 0.3668) and N at (0.0000, 0.0000, 0.0000).

As for the energy above the most stable polymorph in this dataset: 0 meV per atom.

=====

Entry 2:
Entry from Alexandria: crystalline CeMgSi at its relaxed geometry (GGA-PBE).

It has space group P3m1 (No. 156), with a = 4.4634 Å, b = 4.4634 Å, c = 4.0257 Å, α = 90.00°, β = 90.00° and γ = 120.00°. The distinct sites, in fractional coordinates, are Ce at (0.0000, 0.0000, 0.0000), Mg at (0.3333, 0.6667, 0.5003) and Si at (0.6667, 0.3333, 0.4990).

=====

Raw total energy? In order: -4.464 -4.621 eV per atom.
Formation energy (no corrections)? In order: -450.1 -303.6 meV/atom.